BAs2RuSe PBE-GGA optimized geometry; total energy = -0.3534 Ry/atom; density of states at the Fermi level = 0.992 states/eV per atom; M_tot = 0.0 μB/f.u.
1.0
-0.7133 -4.1862 0.0534
4.1493 -0.6997 0.5738
-0.5760 0.1537 4.3524
Se As Ru B
1 2 1 1
direct
0.0000 0.0000 0.5000
0.5000 0.0000 0.0000
0.0000 0.5000 0.0000
0.5000 0.5000 0.5000
0.0000 0.0000 0.0000

BAs2RuSe PBE-GGA optimized geometry; total energy = -0.3277 Ry/atom; density of states at the Fermi level = 0.958 states/eV per atom; M_tot = 0.0 μB/f.u.
1.0
-1.3455 -2.7933 -3.4293
4.2678 0.1214 -1.7733
1.3493 -4.2772 2.9545
Ru B As Se
1 1 2 1
direct
0.0000 0.0000 0.0000
0.5000 0.5000 0.5000
0.5000 0.0000 0.0000
0.0000 0.5000 0.0000
0.0000 0.0000 0.5000